Record 1
Density functional theory data (GGA-PBE) for crystalline PmNb2Ni9 at its relaxed geometry.

Unit cell a=4.8524 b=4.8524 c=23.6703 alpha=90.00 beta=90.00 gamma=120.00
Space group R-3m (No. 166, hexagonal axes)
Unique sites:
Pm1 0.0000 0.0000 0.0000 [3 per cell]
Nb1 0.0000 0.0000 0.1429 [6 per cell]
Ni1 0.0000 0.0000 0.3336 [6 per cell]
Ni2 0.0000 0.0000 0.5000 [3 per cell]
Ni3 0.0050 0.5025 0.9130 [18 per cell]

E   -239.667 eV/cell
Energy of formation   -0.25 eV/atom
Crystal system   trigonal
Size of the total moment   0.01 Bohr magnetons per cell

Record 2
Density functional theory data (GGA-PBE) for crystalline PmNbNi4 at its relaxed geometry.

Unit cell a=7.0563 b=7.0563 c=7.0563 alpha=90.00 beta=90.00 gamma=90.00
Space group F-43m (No. 216)
Unique sites:
Pm1 0.0000 0.0000 0.0000 [4 per cell]
Nb1 0.2500 0.2500 0.2500 [4 per cell]
Ni1 0.1240 0.1240 0.6240 [16 per cell]

E   -154.179 eV/cell
Energy of formation   -0.10 eV/atom
Crystal system   cubic
Size of the total moment   4.43 Bohr magnetons per cell

Record 3
Density functional theory data (GGA-PBE) for crystalline PrNbNi2 at its relaxed geometry.

Unit cell a=3.2320 b=3.2320 c=6.9272 alpha=90.00 beta=90.00 gamma=90.00
Space group P4/mmm (No. 123)
Unique sites:
Pr1 0.0000 0.0000 0.0000 [1 per cell]
Nb1 0.0000 0.0000 0.5000 [1 per cell]
Ni1 0.5000 0.5000 0.3169 [2 per cell]

E   -26.848 eV/cell
Energy of formation   -0.11 eV/atom
Crystal system   tetragonal
Size of the total moment   0.00 Bohr magnetons per cell
Offset from the most stable computed form   20.0 kJ/mol of formula units

Record 4
Density functional theory data (GGA-PBE) for crystalline PrNbNi2 at its relaxed geometry.

Unit cell a=4.2733 b=4.2733 c=15.1099 alpha=90.00 beta=90.00 gamma=120.00
Space group R-3m (No. 166, hexagonal axes)
Unique sites:
Pr1 0.0000 0.0000 0.0000 [3 per cell]
Nb1 0.0000 0.0000 0.5000 [3 per cell]
Ni1 0.0000 0.0000 0.1976 [6 per cell]

E   -81.165 eV/cell
Energy of formation   -0.16 eV/atom
Crystal system   trigonal
Size of the total moment   0.00 Bohr magnetons per cell
Offset from the most stable computed form   0.0 kJ/mol of formula units

Record 5
Density functional theory data (GGA-PBE) for crystalline Nb2Ni5Pt2 at its relaxed geometry.

Unit cell a=15.1095 b=4.7853 c=6.8020 alpha=90.00 beta=90.00 gamma=90.00
Space group Ima2 (No. 46)
Unique sites:
Nb1 0.1062 0.1021 0.0000 [8 per cell]
Ni1 0.0785 0.5884 0.1605 [8 per cell]
Ni2 0.1673 0.5652 0.8575 [8 per cell]
Ni3 0.2500 0.6181 0.5582 [4 per cell]
Pt1 0.0000 0.0000 0.3224 [4 per cell]
Pt2 0.2500 0.1067 0.7018 [4 per cell]

E   -253.611 eV/cell
Energy of formation   -0.25 eV/atom
Crystal system   orthorhombic
Size of the total moment   0.00 Bohr magnetons per cell
Offset from the most stable computed form   0.0 kJ/mol of formula units

Record 6
Density functional theory data (GGA-PBE) for crystalline Nb5NiPt4 at its relaxed geometry.

Unit cell a=3.4838 b=3.4838 c=13.7541 alpha=90.00 beta=90.00 gamma=90.00
Space group P4/mmm (No. 123)
Unique sites:
Nb1 0.0000 0.0000 0.0000 [1 per cell]
Nb2 0.0000 0.0000 0.2017 [2 per cell]
Nb3 0.0000 0.0000 0.4056 [2 per cell]
Ni1 0.5000 0.5000 0.5000 [1 per cell]
Pt1 0.5000 0.5000 0.1020 [2 per cell]
Pt2 0.5000 0.5000 0.3057 [2 per cell]

E   -84.062 eV/cell
Energy of formation   -0.38 eV/atom
Crystal system   tetragonal
Size of the total moment   0.00 Bohr magnetons per cell

Record 7
Density functional theory data (GGA-PBE) for crystalline NbNi6Pt2 at its relaxed geometry.

Unit cell a=8.3740 b=4.8309 c=5.9198 alpha=90.00 beta=90.14 gamma=90.00
Space group C2/m (No. 12)
Unique sites:
Nb1 0.0000 0.0000 0.0000 [2 per cell]
Ni1 0.0856 0.2575 0.6621 [8 per cell]
Ni2 0.1719 0.0000 0.3392 [4 per cell]
Pt1 0.1668 0.5000 0.0816 [4 per cell]

E   -114.235 eV/cell
Energy of formation   -0.03 eV/atom
Crystal system   monoclinic
Size of the total moment   4.71 Bohr magnetons per cell
Offset from the most stable computed form   94.2 kJ/mol of formula units

Record 8
Density functional theory data (GGA-PBE) for crystalline Nb2NiPt at its relaxed geometry.

Unit cell a=5.4795 b=7.1468 c=6.4339 alpha=90.00 beta=90.00 gamma=90.00
Space group Imma (No. 74)
Unique sites:
Nb1 0.2500 0.0395 0.2500 [8 per cell]
Ni1 0.0000 0.2500 0.5404 [4 per cell]
Pt1 0.0000 0.2500 0.9458 [4 per cell]

E   -133.622 eV/cell
Energy of formation   -0.36 eV/atom
Crystal system   orthorhombic
Size of the total moment   0.00 Bohr magnetons per cell

Record 9
Density functional theory data (GGA-PBE) for crystalline NbNi3Pt4 at its relaxed geometry.

Unit cell a=3.8923 b=3.8923 c=15.0040 alpha=90.00 beta=90.00 gamma=90.00
Space group I4/mmm (No. 139)
Unique sites:
Nb1 0.0000 0.0000 0.0000 [2 per cell]
Ni1 0.0000 0.0000 0.2529 [4 per cell]
Ni2 0.0000 0.0000 0.5000 [2 per cell]
Pt1 0.0000 0.5000 0.1273 [8 per cell]

E   -108.769 eV/cell
Energy of formation   -0.35 eV/atom
Crystal system   tetragonal
Size of the total moment   2.61 Bohr magnetons per cell

Record 10
Density functional theory data (GGA-PBE) for crystalline Nb2NiPt at its relaxed geometry.

Unit cell a=3.8694 b=3.8694 c=18.2728 alpha=90.00 beta=90.00 gamma=90.00
Space group I-42d (No. 122)
Unique sites:
Nb1 0.2440 0.2500 0.1250 [8 per cell]
Ni1 0.0000 0.0000 0.0000 [4 per cell]
Pt1 0.0000 0.0000 0.5000 [4 per cell]

E   -124.544 eV/cell
Energy of formation   0.21 eV/atom
Crystal system   tetragonal
Size of the total moment   0.00 Bohr magnetons per cell

Record 11
Density functional theory data (GGA-PBE) for crystalline NbNiPt3 at its relaxed geometry.

Unit cell a=4.8380 b=4.8380 c=4.8380 alpha=90.00 beta=90.00 gamma=90.00
Space group Pm-3m (No. 221)
Unique sites:
Nb1 0.0000 0.0000 0.0000 [1 per cell]
Ni1 0.5000 0.5000 0.5000 [1 per cell]
Pt1 0.0000 0.0000 0.5000 [3 per cell]

E   -27.613 eV/cell
Energy of formation   1.27 eV/atom
Crystal system   cubic
Size of the total moment   0.00 Bohr magnetons per cell
Offset from the most stable computed form   861.2 kJ/mol of formula units

Record 12
Density functional theory data (GGA-PBE) for crystalline NbNi2Pt6 at its relaxed geometry.

Unit cell a=11.8034 b=3.8876 c=6.1857 alpha=90.00 beta=109.00 gamma=90.00
Space group C2/m (No. 12)
Unique sites:
Nb1 0.0000 0.0000 0.0000 [2 per cell]
Ni1 0.0526 0.5000 0.3310 [4 per cell]
Pt1 0.1063 0.0000 0.6657 [4 per cell]
Pt2 0.1582 0.5000 0.0020 [4 per cell]
Pt3 0.2198 0.0000 0.3343 [4 per cell]

E   -121.833 eV/cell
Energy of formation   -0.34 eV/atom
Crystal system   monoclinic
Size of the total moment   0.01 Bohr magnetons per cell
Offset from the most stable computed form   0.0 kJ/mol of formula units

Record 13
Density functional theory data (GGA-PBE) for crystalline Nb2Ni3Pt at its relaxed geometry.

Unit cell a=12.1472 b=4.0075 c=8.1125 alpha=90.00 beta=120.82 gamma=90.00
Space group C2/m (No. 12)
Unique sites:
Nb1 0.0204 0.0000 0.3341 [4 per cell]
Nb2 0.2066 0.5000 0.3474 [4 per cell]
Ni1 0.0390 0.5000 0.8873 [4 per cell]
Ni2 0.1192 0.0000 0.1109 [4 per cell]
Ni3 0.2208 0.0000 0.9042 [4 per cell]
Pt1 0.1309 0.5000 0.6488 [4 per cell]

E   -179.247 eV/cell
Energy of formation   -0.21 eV/atom
Crystal system   monoclinic
Size of the total moment   0.00 Bohr magnetons per cell

Record 14
Density functional theory data (GGA-PBE) for crystalline Nb2Ni6Pt at its relaxed geometry.

Unit cell a=8.4848 b=4.8956 c=5.7785 alpha=90.00 beta=90.14 gamma=90.00
Space group C2/m (No. 12)
Unique sites:
Nb1 0.1668 0.0000 0.1427 [4 per cell]
Ni1 0.0868 0.2389 0.6637 [8 per cell]
Ni2 0.1743 0.5000 0.3373 [4 per cell]
Pt1 0.0000 0.5000 0.0000 [2 per cell]

E   -123.573 eV/cell
Energy of formation   -0.10 eV/atom
Crystal system   monoclinic
Size of the total moment   0.02 Bohr magnetons per cell
Offset from the most stable computed form   113.9 kJ/mol of formula units

Record 15
Density functional theory data (GGA-PBE) for crystalline NbNi12Pt4 at its relaxed geometry.

Unit cell a=7.5652 b=7.5652 c=7.5652 alpha=90.00 beta=90.00 gamma=90.00
Space group Im-3m (No. 229)
Unique sites:
Nb1 0.0000 0.0000 0.0000 [2 per cell]
Ni1 0.0000 0.0000 0.3099 [12 per cell]
Ni2 0.0000 0.2500 0.5000 [12 per cell]
Pt1 0.2500 0.2500 0.2500 [8 per cell]

E   -205.809 eV/cell
Energy of formation   0.04 eV/atom
Crystal system   cubic
Size of the total moment   10.70 Bohr magnetons per cell

Record 16
Density functional theory data (GGA-PBE) for crystalline NbNi8Pt3 at its relaxed geometry.

Unit cell a=4.7511 b=4.7511 c=7.6872 alpha=90.00 beta=90.00 gamma=120.00
Space group P3m1 (No. 156)
Unique sites:
Nb1 0.0000 0.0000 0.0000 [1 per cell]
Ni1 0.1641 0.3282 0.6817 [3 per cell]
Ni2 0.3333 0.6667 0.4296 [1 per cell]
Ni3 0.3333 0.6667 0.9312 [1 per cell]
Ni4 0.5027 0.0055 0.1822 [3 per cell]
Pt1 0.0000 0.0000 0.3673 [1 per cell]
Pt2 0.6667 0.3333 0.4965 [1 per cell]
Pt3 0.6667 0.3333 0.8758 [1 per cell]

E   -76.398 eV/cell
Energy of formation   -0.16 eV/atom
Crystal system   trigonal
Size of the total moment   3.53 Bohr magnetons per cell

Record 17
Density functional theory data (GGA-PBE) for crystalline NbNi5Pt6 at its relaxed geometry.

Unit cell a=3.8826 b=11.5645 c=7.4578 alpha=90.00 beta=90.00 gamma=90.00
Space group Cmmm (No. 65)
Unique sites:
Nb1 0.0000 0.0000 0.0000 [2 per cell]
Ni1 0.0000 0.0000 0.5000 [2 per cell]
Ni2 0.0000 0.3334 0.0000 [4 per cell]
Ni3 0.0000 0.3383 0.5000 [4 per cell]
Pt1 0.0000 0.1685 0.2547 [8 per cell]
Pt2 0.0000 0.5000 0.2522 [4 per cell]

E   -157.174 eV/cell
Energy of formation   -0.28 eV/atom
Crystal system   orthorhombic
Size of the total moment   6.06 Bohr magnetons per cell

Record 18
Density functional theory data (GGA-PBE) for crystalline NbNi3Pt at its relaxed geometry.

Unit cell a=4.5723 b=7.0453 c=9.3500 alpha=104.07 beta=100.34 gamma=108.58
Space group P-1 (No. 2)
Unique sites:
Nb1 0.1198 0.4413 0.1347 [2 per cell]
Nb2 0.1260 0.9419 0.3641 [2 per cell]
Ni1 0.2907 0.8573 0.6245 [2 per cell]
Ni2 0.2977 0.3653 0.8785 [2 per cell]
Ni3 0.3148 0.8337 0.1259 [2 per cell]
Ni4 0.3227 0.3498 0.3772 [2 per cell]
Ni5 0.4769 0.2448 0.6176 [2 per cell]
Ni6 0.4913 0.7517 0.8768 [2 per cell]
Pt1 0.0962 0.4525 0.6251 [2 per cell]
Pt2 0.1076 0.9635 0.8757 [2 per cell]

E   -139.390 eV/cell
Energy of formation   -0.28 eV/atom
Crystal system   triclinic
Size of the total moment   0.00 Bohr magnetons per cell
Offset from the most stable computed form   0.0 kJ/mol of formula units

Record 19
Density functional theory data (GGA-PBE) for crystalline NbNi4Pt2 at its relaxed geometry.

Unit cell a=6.7270 b=6.7270 c=4.3138 alpha=90.00 beta=90.00 gamma=90.00
Space group P4_2/mnm (No. 136)
Unique sites:
Nb1 0.0000 0.0000 0.0000 [2 per cell]
Ni1 0.1018 0.3636 0.0000 [8 per cell]
Pt1 0.1909 0.1909 0.5000 [4 per cell]

E   -91.770 eV/cell
Energy of formation   -0.09 eV/atom
Crystal system   tetragonal
Size of the total moment   0.00 Bohr magnetons per cell
Offset from the most stable computed form   0.0 kJ/mol of formula units

Record 20
Density functional theory data (GGA-PBE) for crystalline NbNiPt2 at its relaxed geometry.

Unit cell a=6.9703 b=6.9703 c=5.4086 alpha=90.00 beta=90.00 gamma=90.00
Space group I-42d (No. 122)
Unique sites:
Nb1 0.0000 0.0000 0.0000 [4 per cell]
Ni1 0.0000 0.0000 0.5000 [4 per cell]
Pt1 0.2385 0.2500 0.6250 [8 per cell]

E   -112.259 eV/cell
Energy of formation   -0.03 eV/atom
Crystal system   tetragonal
Size of the total moment   0.00 Bohr magnetons per cell